Computed, not measured: a relaxed structure of TaNiPS2 at the PBE-GGA level of DFT.

## Properties
Total magnetization, Bohr magnetons per cell: 1.2
Formation energy without anion corrections, eV/atom: 0.4475
Total energy, eV/atom: -5.812
ρ, g/cm³: 5.1
Fermi-level density of states, states/eV/cell: 8.132
Distance to the lowest polymorph of the same formula, meV/atom: 0.0

abc: 4.7160 4.7160 4.9109
angles: 90.00 90.00 90.00
With the nearest neighbours (Å) after each atom.
Fractional positions:
Ni 0.5000 0.5000 0.5000  4 P 3.33, 8 S 3.40
S 0.0000 0.5000 0.0000  2 Ta 2.36
S 0.5000 0.0000 0.0000  2 Ta 2.36
P 0.0000 0.0000 0.5000  2 Ta 2.46
Ta 0.0000 0.0000 0.0000  4 S 2.36, 2 P 2.46

***

Computed, not measured: a relaxed structure of NiTePS2 at the PBE-GGA level of DFT.

## Properties
Total magnetization, Bohr magnetons per cell: 0.0
Formation energy without anion corrections, eV/atom: 0.4137
Total energy, eV/atom: -4.104
ρ, g/cm³: 5.1
Fermi-level density of states, states/eV/cell: 3.755
Distance to the lowest polymorph of the same formula, meV/atom: 0.0

abc: 4.5859 4.5859 4.3198
angles: 90.00 90.00 90.00
With the nearest neighbours (Å) after each atom.
Fractional positions:
Ni 0.0000 0.0000 0.0000  2 P 2.16, 4 S 2.29
S 0.0000 0.5000 0.0000  2 Ni 2.29
S 0.5000 0.0000 0.0000  2 Ni 2.29
Te 0.5000 0.5000 0.5000  8 S 3.15, 4 P 3.24
P 0.0000 0.0000 0.5000  2 Ni 2.16

***

Computed, not measured: a relaxed structure of Ni2TePS at the PBE-GGA level of DFT.

## Properties
Total magnetization, Bohr magnetons per cell: 0.0
Formation energy without anion corrections, eV/atom: 0.3732
Total energy, eV/atom: -4.475
ρ, g/cm³: 5.8
Fermi-level density of states, states/eV/cell: 3.735

abc: 4.2471 4.9035 4.2471
angles: 90.00 90.00 90.00
With the nearest neighbours (Å) after each atom.
Fractional positions:
Ni 0.0000 0.0000 0.5000  2 P 2.12
Ni 0.5000 0.0000 0.0000  2 P 2.12
S 0.0000 0.5000 0.0000  2 P 2.45
Te 0.5000 0.5000 0.5000  4 S 3.00, 8 Ni 3.24
P 0.0000 0.0000 0.0000  4 Ni 2.12

***

> Fermi-level density of states of number 2 (NiTePS2)?

3.755 states/eV/cell

***

> The lowest formation energy without anion corrections belongs to which entry?

Ni2TePS

***

> Among the records above, which one has the highest Fermi-level density of states?

TaNiPS2

***

Copy entry 3 word for word.
Computed, not measured: a relaxed structure of Ni2TePS at the PBE-GGA level of DFT.

## Properties
Total magnetization, Bohr magnetons per cell: 0.0
Formation energy without anion corrections, eV/atom: 0.3732
Total energy, eV/atom: -4.475
ρ, g/cm³: 5.8
Fermi-level density of states, states/eV/cell: 3.735

abc: 4.2471 4.9035 4.2471
angles: 90.00 90.00 90.00
With the nearest neighbours (Å) after each atom.
Fractional positions:
Ni 0.0000 0.0000 0.5000  2 P 2.12
Ni 0.5000 0.0000 0.0000  2 P 2.12
S 0.0000 0.5000 0.0000  2 P 2.45
Te 0.5000 0.5000 0.5000  4 S 3.00, 8 Ni 3.24
P 0.0000 0.0000 0.0000  4 Ni 2.12